Record 1
The following is a DFT calculation (GGA-PBE) of a geometry-optimized Sr6PrPb3N2 structure.

The structure in POSCAR format:
```
Sr6PrPb3N2
1.0
2.651 -12.671 0.000
2.651 12.671 0.000
0.000 0.000 5.282
N Pb Pr Sr
2 3 1 6
direct
0.902 0.098 0.000 N
0.098 0.902 0.000 N
0.709 0.291 0.500 Pb
0.500 0.500 0.500 Pb
0.291 0.709 0.500 Pb
0.000 0.000 0.000 Pr
0.800 0.200 0.000 Sr
0.600 0.400 0.000 Sr
0.400 0.600 0.000 Sr
0.200 0.800 0.000 Sr
0.901 0.099 0.500 Sr
0.099 0.901 0.500 Sr
```

## Properties
The magnetization comes out at 0.0012 μB per atom. Its space-group type is Cmmm, No. 65. For the total DFT energy (no corrections), the calculation gives -50.4 eV for the cell shown.

=====

Record 2
The following is a DFT calculation (GGA-PBE) of a geometry-optimized Sr3Pr4Pb3N2 structure.

The structure in POSCAR format:
```
Sr3Pr4Pb3N2
1.0
-5.918 11.055 5.518
1.847 -10.499 -8.605
-2.697 -2.952 3.023
N Pb Pr Sr
2 3 4 3
direct
0.598 0.402 0.000 N
0.402 0.598 0.000 N
0.000 0.000 0.500 Pb
0.817 0.183 0.500 Pb
0.183 0.817 0.500 Pb
0.900 0.100 0.000 Pr
0.100 0.900 0.000 Pr
0.598 0.402 0.500 Pr
0.402 0.598 0.500 Pr
0.700 0.300 0.000 Sr
0.500 0.500 0.000 Sr
0.300 0.700 0.000 Sr
```

## Properties
The magnetization comes out at 0.0014 μB per atom. Its space-group type is Cmmm, No. 65. The calculation puts the energy above the lowest structure with this stoichiometry at 0 meV per atom.

=====

Record 3
The following is a DFT calculation (GGA-PBE) of a geometry-optimized Sr3Pr4Pb3N2 structure.

The structure in POSCAR format:
```
Sr3Pr4Pb3N2
1.0
2.604 -13.225 0.000
2.604 13.225 0.000
0.000 0.000 4.948
N Pb Pr Sr
2 3 4 3
direct
0.893 0.107 0.000 N
0.107 0.893 0.000 N
0.692 0.308 0.500 Pb
0.500 0.500 0.500 Pb
0.308 0.692 0.500 Pb
0.802 0.198 0.000 Pr
0.198 0.802 0.000 Pr
0.904 0.096 0.500 Pr
0.096 0.904 0.500 Pr
0.000 0.000 0.000 Sr
0.600 0.400 0.000 Sr
0.400 0.600 0.000 Sr
```

## Properties
The magnetization comes out at 0.0007 μB per atom. Its space-group type is Cmmm, No. 65. The calculation puts the energy above the lowest structure with this stoichiometry at 47 meV per atom.